Entry 1:
This record from Alexandria via LeMat-Bulk describes Tb3Hg5O12 after structural relaxation. The functional is PBE.

CIF file:
```
data_Tb3Hg5O12
_cell_length_a 13.3782
_cell_length_b 13.3782
_cell_length_c 13.3782
_cell_angle_alpha 90.00
_cell_angle_beta 90.00
_cell_angle_gamma 90.00
_symmetry_space_group_name_H-M 'I a -3 d'
_symmetry_Int_Tables_number 230
_symmetry_space_group_name_Hall '-I 4bd 2c 3'
loop_
_atom_site_label
_atom_site_fract_x
_atom_site_fract_y
_atom_site_fract_z
Tb1 0.0000 0.2500 0.1250
Hg1 0.0000 0.0000 0.0000
Hg2 0.0000 0.2500 0.3750
O1 0.0115 0.0697 0.6533
```

Values from the calculation:
As for the uncorrected formation energy: -1226 meV/atom.

Entry 2:
This record from Alexandria via LeMat-Bulk describes Dy2PdCl after structural relaxation. The functional is PBE.

CIF file:
```
data_Dy2PdCl
_cell_length_a 3.9620
_cell_length_b 3.9620
_cell_length_c 22.7808
_cell_angle_alpha 90.00
_cell_angle_beta 90.00
_cell_angle_gamma 120.00
_symmetry_space_group_name_H-M 'R 3 m'
_symmetry_Int_Tables_number 160
_symmetry_space_group_name_Hall 'R 3 -2"'
loop_
_atom_site_label
_atom_site_fract_x
_atom_site_fract_y
_atom_site_fract_z
Dy1 0.0000 0.0000 0.0000
Dy2 0.0000 0.0000 0.1945
Pd1 0.0000 0.0000 0.5972
Cl1 0.0000 0.0000 0.7689
```

Values from the calculation:
As for the uncorrected formation energy: -1051 meV/atom.

Entry 3:
This record from Alexandria via LeMat-Bulk describes CaPa2P2N6 after structural relaxation. The functional is PBE.

CIF file:
```
data_CaPa2P2N6
_cell_length_a 5.9020
_cell_length_b 5.9020
_cell_length_c 5.8408
_cell_angle_alpha 90.00
_cell_angle_beta 90.00
_cell_angle_gamma 120.00
_symmetry_space_group_name_H-M 'P -3'
_symmetry_Int_Tables_number 147
loop_
_symmetry_equiv_pos_as_xyz
'x,y,z'
'-x,-y,-z'
'-y,x-y,z'
'y,-x+y,-z'
'-x+y,-x,z'
'x-y,x,-z'
loop_
_atom_site_label
_atom_site_fract_x
_atom_site_fract_y
_atom_site_fract_z
Ca1 0.0000 0.0000 0.0000
Pa1 0.3333 0.6667 0.8591
P1 0.3333 0.6667 0.3319
N1 0.0715 0.4082 0.1993
```

Values from the calculation:
As for the uncorrected formation energy: -995 meV/atom.

Entry 4:
This record from Alexandria via LeMat-Bulk describes TmTiCr4 after structural relaxation. The functional is PBE.

CIF file:
```
data_TmTiCr4
_cell_length_a 7.0848
_cell_length_b 7.0848
_cell_length_c 7.0848
_cell_angle_alpha 90.00
_cell_angle_beta 90.00
_cell_angle_gamma 90.00
_symmetry_space_group_name_H-M 'F -4 3 m'
_symmetry_Int_Tables_number 216
_symmetry_space_group_name_Hall 'F -4 2 3'
loop_
_atom_site_label
_atom_site_fract_x
_atom_site_fract_y
_atom_site_fract_z
Tm1 0.0000 0.0000 0.0000
Ti1 0.2500 0.2500 0.2500
Cr1 0.1250 0.1250 0.6250
```

Values from the calculation:
The electronic total energy comes out at -200.27 eV/cell.

Entry 5:
This record from Alexandria via LeMat-Bulk describes LaRhS3 after structural relaxation. The functional is PBE.

CIF file:
```
data_LaRhS3
_cell_length_a 5.4529
_cell_length_b 5.4529
_cell_length_c 5.4529
_cell_angle_alpha 90.00
_cell_angle_beta 90.00
_cell_angle_gamma 90.00
_symmetry_space_group_name_H-M 'P m -3 m'
_symmetry_Int_Tables_number 221
_symmetry_space_group_name_Hall '-P 4 2 3'
loop_
_atom_site_label
_atom_site_fract_x
_atom_site_fract_y
_atom_site_fract_z
La1 0.0000 0.0000 0.0000
Rh1 0.5000 0.5000 0.5000
S1 0.0000 0.0000 0.5000
```

Values from the calculation:
As for the uncorrected formation energy: 397 meV/atom.

Entry 6:
This record from Alexandria via LeMat-Bulk describes Y2MgGa6 after structural relaxation. The functional is PBE.

CIF file:
```
data_Y2MgGa6
_cell_length_a 4.3318
_cell_length_b 6.7086
_cell_length_c 13.5268
_cell_angle_alpha 90.00
_cell_angle_beta 90.00
_cell_angle_gamma 90.00
_symmetry_space_group_name_H-M 'I m m m'
_symmetry_Int_Tables_number 71
_symmetry_space_group_name_Hall '-I 2 2'
loop_
_atom_site_label
_atom_site_fract_x
_atom_site_fract_y
_atom_site_fract_z
Y1 0.0000 0.0000 0.1238
Mg1 0.0000 0.5000 0.0000
Ga1 0.0000 0.1955 0.3125
Ga2 0.0000 0.2961 0.5000
```

Values from the calculation:
The electronic total energy comes out at -71.78 eV/cell.

Entry 7:
This record from Alexandria via LeMat-Bulk describes PmGdMnAu after structural relaxation. The functional is PBE.

CIF file:
```
data_PmGdMnAu
_cell_length_a 7.2762
_cell_length_b 7.2762
_cell_length_c 7.2762
_cell_angle_alpha 90.00
_cell_angle_beta 90.00
_cell_angle_gamma 90.00
_symmetry_space_group_name_H-M 'F -4 3 m'
_symmetry_Int_Tables_number 216
_symmetry_space_group_name_Hall 'F -4 2 3'
loop_
_atom_site_label
_atom_site_fract_x
_atom_site_fract_y
_atom_site_fract_z
Pm1 0.0000 0.0000 0.0000
Gd1 0.0000 0.0000 0.5000
Mn1 0.2500 0.2500 0.2500
Au1 0.2500 0.2500 0.7500
```

Values from the calculation:
The electronic total energy comes out at -128.72 eV/cell.

Entry 8:
This record from Alexandria via LeMat-Bulk describes Pr7Ho2Er2 after structural relaxation. The functional is PBE.

CIF file:
```
data_Pr7Ho2Er2
_cell_length_a 8.6696
_cell_length_b 11.0027
_cell_length_c 8.2955
_cell_angle_alpha 90.00
_cell_angle_beta 103.69
_cell_angle_gamma 90.00
_symmetry_space_group_name_H-M 'C 1 2/m 1'
_symmetry_Int_Tables_number 12
loop_
_symmetry_equiv_pos_as_xyz
'x,y,z'
'-x,-y,-z'
'-x,y,-z'
'x,-y,z'
'x+1/2,y+1/2,z'
'-x+1/2,-y+1/2,-z'
'-x+1/2,y+1/2,-z'
'x+1/2,-y+1/2,z'
loop_
_atom_site_label
_atom_site_fract_x
_atom_site_fract_y
_atom_site_fract_z
Pr1 0.0000 0.0000 0.0000
Pr2 0.1973 0.2881 0.1716
Pr3 0.1995 0.0000 0.4828
Ho1 0.0849 0.5000 0.8212
Er1 0.0000 0.2880 0.5000
```

Values from the calculation:
The electronic total energy comes out at -100.71 eV/cell.

Entry 9:
This record from Alexandria via LeMat-Bulk describes ZnAgAu2 after structural relaxation. The functional is PBE.

CIF file:
```
data_ZnAgAu2
_cell_length_a 3.0225
_cell_length_b 3.5339
_cell_length_c 6.4226
_cell_angle_alpha 90.00
_cell_angle_beta 90.50
_cell_angle_gamma 90.00
_symmetry_space_group_name_H-M 'P 1 2/m 1'
_symmetry_Int_Tables_number 10
loop_
_symmetry_equiv_pos_as_xyz
'x,y,z'
'-x,-y,-z'
'-x,y,-z'
'x,-y,z'
loop_
_atom_site_label
_atom_site_fract_x
_atom_site_fract_y
_atom_site_fract_z
Zn1 0.0000 0.0000 0.0000
Ag1 0.0000 0.0000 0.5000
Au1 0.4999 0.5000 0.2301
```

Values from the calculation:
The electronic total energy comes out at -11.17 eV/cell.

Entry 10:
This record from Alexandria via LeMat-Bulk describes Pm2Sn6Pb after structural relaxation. The functional is PBE.

CIF file:
```
data_Pm2Sn6Pb
_cell_length_a 14.3743
_cell_length_b 10.2677
_cell_length_c 4.2919
_cell_angle_alpha 90.00
_cell_angle_beta 107.24
_cell_angle_gamma 90.00
_symmetry_space_group_name_H-M 'C 1 m 1'
_symmetry_Int_Tables_number 8
loop_
_symmetry_equiv_pos_as_xyz
'x,y,z'
'x,-y,z'
'x+1/2,y+1/2,z'
'x+1/2,-y+1/2,z'
loop_
_atom_site_label
_atom_site_fract_x
_atom_site_fract_y
_atom_site_fract_z
Pm1 0.0000 0.0000 0.0000
Pm2 0.2113 0.5000 0.7128
Sn1 0.0375 0.2910 0.5409
Sn2 0.1736 0.2091 0.1761
Sn3 0.3556 0.3544 0.3561
Pb1 0.3555 0.0000 0.3491
```

Values from the calculation:
The electronic total energy comes out at -77.25 eV/cell.

Entry 11:
This record from Alexandria via LeMat-Bulk describes PuScPdO6 after structural relaxation. The functional is PBE.

CIF file:
```
data_PuScPdO6
_cell_length_a 5.2746
_cell_length_b 5.2746
_cell_length_c 9.4396
_cell_angle_alpha 90.00
_cell_angle_beta 90.00
_cell_angle_gamma 120.00
_symmetry_space_group_name_H-M 'P -3 1 c'
_symmetry_Int_Tables_number 163
_symmetry_space_group_name_Hall '-P 3 2c'
loop_
_atom_site_label
_atom_site_fract_x
_atom_site_fract_y
_atom_site_fract_z
Pu1 0.3333 0.6667 0.2500
Sc1 0.0000 0.0000 0.0000
Pd1 0.3333 0.6667 0.7500
O1 0.0027 0.3373 0.6290
```

Values from the calculation:
As for the uncorrected formation energy: -2116 meV/atom.

Entry 12:
This record from Alexandria via LeMat-Bulk describes Sr2MnMo after structural relaxation. The functional is PBE.

CIF file:
```
data_Sr2MnMo
_cell_length_a 3.6670
_cell_length_b 5.5610
_cell_length_c 10.9958
_cell_angle_alpha 90.00
_cell_angle_beta 90.00
_cell_angle_gamma 90.00
_symmetry_space_group_name_H-M 'I m m 2'
_symmetry_Int_Tables_number 44
loop_
_symmetry_equiv_pos_as_xyz
'x,y,z'
'-x,-y,z'
'-x,y,z'
'x,-y,z'
'x+1/2,y+1/2,z+1/2'
'-x+1/2,-y+1/2,z+1/2'
'-x+1/2,y+1/2,z+1/2'
'x+1/2,-y+1/2,z+1/2'
loop_
_atom_site_label
_atom_site_fract_x
_atom_site_fract_y
_atom_site_fract_z
Sr1 0.0000 0.0000 0.0000
Sr2 0.0000 0.5000 0.2074
Mn1 0.0000 0.5000 0.7817
Mo1 0.0000 0.0000 0.4080
```

Values from the calculation:
The electronic total energy comes out at -41.48 eV/cell.

Entry 13:
This record from Alexandria via LeMat-Bulk describes Dy2Al2Ga3 after structural relaxation. The functional is PBE.

CIF file:
```
data_Dy2Al2Ga3
_cell_length_a 5.7585
_cell_length_b 5.7585
_cell_length_c 15.6567
_cell_angle_alpha 90.00
_cell_angle_beta 90.00
_cell_angle_gamma 120.00
_symmetry_space_group_name_H-M 'R -3 m'
_symmetry_Int_Tables_number 166
_symmetry_space_group_name_Hall '-R 3 2"'
loop_
_atom_site_label
_atom_site_fract_x
_atom_site_fract_y
_atom_site_fract_z
Dy1 0.0000 0.0000 0.0000
Dy2 0.0000 0.0000 0.5000
Al1 0.0000 0.0000 0.1982
Ga1 0.0000 0.5000 0.0000
```

Values from the calculation:
The electronic total energy comes out at -84.14 eV/cell.

Entry 14:
This record from Alexandria via LeMat-Bulk describes CaLa5Te8 after structural relaxation. The functional is PBE.

CIF file:
```
data_CaLa5Te8
_cell_length_a 9.6568
_cell_length_b 9.6568
_cell_length_c 9.7332
_cell_angle_alpha 90.00
_cell_angle_beta 90.00
_cell_angle_gamma 90.00
_symmetry_space_group_name_H-M 'I -4'
_symmetry_Int_Tables_number 82
loop_
_symmetry_equiv_pos_as_xyz
'x,y,z'
'y,-x,-z'
'-x,-y,z'
'-y,x,-z'
'x+1/2,y+1/2,z+1/2'
'y+1/2,-x+1/2,-z+1/2'
'-x+1/2,-y+1/2,z+1/2'
'-y+1/2,x+1/2,-z+1/2'
loop_
_atom_site_label
_atom_site_fract_x
_atom_site_fract_y
_atom_site_fract_z
Ca1 0.0000 0.0000 0.0000
La1 0.0000 0.5000 0.7500
La2 0.1246 0.2503 0.3713
Te1 0.0732 0.3228 0.0459
Te2 0.0775 0.1755 0.6961
```

Values from the calculation:
As for the uncorrected formation energy: -1607 meV/atom.

Entry 15:
This record from Alexandria via LeMat-Bulk describes Mg3As after structural relaxation. The functional is PBE.

CIF file:
```
data_Mg3As
_cell_length_a 3.3829
_cell_length_b 3.3829
_cell_length_c 8.9947
_cell_angle_alpha 90.00
_cell_angle_beta 90.00
_cell_angle_gamma 120.00
_symmetry_space_group_name_H-M 'P -6 m 2'
_symmetry_Int_Tables_number 187
_symmetry_space_group_name_Hall 'P -6 2'
loop_
_atom_site_label
_atom_site_fract_x
_atom_site_fract_y
_atom_site_fract_z
Mg1 0.0000 0.0000 0.0000
Mg2 0.6667 0.3333 0.2794
As1 0.0000 0.0000 0.5000
```

Values from the calculation:
The electronic total energy comes out at -9.62 eV/cell.

Entry 16:
This record from Alexandria via LeMat-Bulk describes CeGdAlGe after structural relaxation. The functional is PBE.

CIF file:
```
data_CeGdAlGe
_cell_length_a 7.2856
_cell_length_b 7.2856
_cell_length_c 7.2856
_cell_angle_alpha 90.00
_cell_angle_beta 90.00
_cell_angle_gamma 90.00
_symmetry_space_group_name_H-M 'F -4 3 m'
_symmetry_Int_Tables_number 216
_symmetry_space_group_name_Hall 'F -4 2 3'
loop_
_atom_site_label
_atom_site_fract_x
_atom_site_fract_y
_atom_site_fract_z
Ce1 0.0000 0.0000 0.0000
Gd1 0.0000 0.0000 0.5000
Al1 0.2500 0.2500 0.7500
Ge1 0.2500 0.2500 0.2500
```

Values from the calculation:
The electronic total energy comes out at -120.39 eV/cell.

Entry 17:
This record from Alexandria via LeMat-Bulk describes LiSc2F7 after structural relaxation. The functional is PBE.

CIF file:
```
data_LiSc2F7
_cell_length_a 3.7403
_cell_length_b 3.7403
_cell_length_c 29.2351
_cell_angle_alpha 90.00
_cell_angle_beta 90.00
_cell_angle_gamma 120.00
_symmetry_space_group_name_H-M 'R -3 m'
_symmetry_Int_Tables_number 166
_symmetry_space_group_name_Hall '-R 3 2"'
loop_
_atom_site_label
_atom_site_fract_x
_atom_site_fract_y
_atom_site_fract_z
Li1 0.0000 0.0000 0.0000
Sc1 0.0000 0.0000 0.4299
F1 0.0000 0.0000 0.0786
F2 0.0000 0.0000 0.2213
F3 0.0000 0.0000 0.3623
F4 0.0000 0.0000 0.5000
```

Values from the calculation:
As for the uncorrected formation energy: -3637 meV/atom.

Entry 18:
This record from Alexandria via LeMat-Bulk describes Tm2Re3W after structural relaxation. The functional is PBE.

CIF file:
```
data_Tm2Re3W
_cell_length_a 9.3574
_cell_length_b 5.4180
_cell_length_c 5.4162
_cell_angle_alpha 90.00
_cell_angle_beta 125.21
_cell_angle_gamma 90.00
_symmetry_space_group_name_H-M 'C 1 2/m 1'
_symmetry_Int_Tables_number 12
loop_
_symmetry_equiv_pos_as_xyz
'x,y,z'
'-x,-y,-z'
'-x,y,-z'
'x,-y,z'
'x+1/2,y+1/2,z'
'-x+1/2,-y+1/2,-z'
'-x+1/2,y+1/2,-z'
'x+1/2,-y+1/2,z'
loop_
_atom_site_label
_atom_site_fract_x
_atom_site_fract_y
_atom_site_fract_z
Tm1 0.1241 0.0000 0.3728
Re1 0.0000 0.5000 0.0000
Re2 0.2500 0.2500 0.0000
W1 0.0000 0.5000 0.5000
```

Values from the calculation:
The electronic total energy comes out at -121.10 eV/cell.

Entry 19:
This record from Alexandria via LeMat-Bulk describes FeP2Br after structural relaxation. The functional is PBE.

CIF file:
```
data_FeP2Br
_cell_length_a 5.0802
_cell_length_b 5.0802
_cell_length_c 5.2400
_cell_angle_alpha 90.00
_cell_angle_beta 90.00
_cell_angle_gamma 90.00
_symmetry_space_group_name_H-M 'I 4/m m m'
_symmetry_Int_Tables_number 139
_symmetry_space_group_name_Hall '-I 4 2'
loop_
_atom_site_label
_atom_site_fract_x
_atom_site_fract_y
_atom_site_fract_z
Fe1 0.0000 0.0000 0.0000
P1 0.0000 0.5000 0.0000
Br1 0.0000 0.0000 0.5000
```

Values from the calculation:
As for the uncorrected formation energy: 585 meV/atom.

Entry 20:
This record from Alexandria via LeMat-Bulk describes LiY6Ni after structural relaxation. The functional is PBE.

CIF file:
```
data_LiY6Ni
_cell_length_a 6.8178
_cell_length_b 6.8178
_cell_length_c 17.9794
_cell_angle_alpha 90.00
_cell_angle_beta 90.00
_cell_angle_gamma 120.00
_symmetry_space_group_name_H-M 'R -3'
_symmetry_Int_Tables_number 148
_symmetry_space_group_name_Hall '-R 3'
loop_
_atom_site_label
_atom_site_fract_x
_atom_site_fract_y
_atom_site_fract_z
Li1 0.0000 0.0000 0.0000
Y1 0.0073 0.3705 0.9152
Ni1 0.0000 0.0000 0.5000
```

Values from the calculation:
The electronic total energy comes out at -136.30 eV/cell.

Entry 21:
This record from Alexandria via LeMat-Bulk describes NaCoGe2Rh after structural relaxation. The functional is PBE.

CIF file:
```
data_NaCoGe2Rh
_cell_length_a 4.0373
_cell_length_b 4.0373
_cell_length_c 10.4623
_cell_angle_alpha 90.00
_cell_angle_beta 90.00
_cell_angle_gamma 90.00
_symmetry_space_group_name_H-M 'I -4 m 2'
_symmetry_Int_Tables_number 119
_symmetry_space_group_name_Hall 'I -4 -2'
loop_
_atom_site_label
_atom_site_fract_x
_atom_site_fract_y
_atom_site_fract_z
Na1 0.0000 0.0000 0.0000
Co1 0.0000 0.5000 0.7500
Ge1 0.0000 0.0000 0.3740
Rh1 0.0000 0.5000 0.2500
```

Values from the calculation:
The electronic total energy comes out at -53.11 eV/cell.

Entry 22:
This record from Alexandria via LeMat-Bulk describes BaCaCl2 after structural relaxation. The functional is PBE.

CIF file:
```
data_BaCaCl2
_cell_length_a 7.7624
_cell_length_b 7.7624
_cell_length_c 7.7624
_cell_angle_alpha 90.00
_cell_angle_beta 90.00
_cell_angle_gamma 90.00
_symmetry_space_group_name_H-M 'F m -3 m'
_symmetry_Int_Tables_number 225
_symmetry_space_group_name_Hall '-F 4 2 3'
loop_
_atom_site_label
_atom_site_fract_x
_atom_site_fract_y
_atom_site_fract_z
Ba1 0.0000 0.0000 0.0000
Ca1 0.0000 0.0000 0.5000
Cl1 0.2500 0.2500 0.2500
```

Values from the calculation:
As for the uncorrected formation energy: -1338 meV/atom.